{
  "formula": "Ac7Pr4Tm",
  "functional": "PBE",
  "state": "relaxed",
  "spacegroup": "No. 2",
  "total_energy_ev_per_atom": -4.33,
  "cell": [[-2.144, 7.420, -0.112], [-7.220, 6.031, 4.077], [3.901, 1.326, 8.756]],
  "species": ["Pr", "Pr", "Pr", "Pr", "Ac", "Ac", "Ac", "Ac", "Ac", "Ac", "Ac", "Tm"],
  "frac_coords": [[0.279, 0.222, 0.334], [0.524, 0.725, 0.329], [0.721, 0.778, 0.666], [0.476, 0.275, 0.671], [0.500, 0.000, 0.000], [0.783, 0.218, 0.331], [0.971, 0.282, 0.667], [0.029, 0.718, 0.333], [0.746, 0.504, 0.004], [0.217, 0.782, 0.669], [0.254, 0.496, 0.996], [0.000, 0.000, 0.000]]
}



{
  "formula": "La2W",
  "functional": "PBE",
  "state": "relaxed",
  "spacegroup": "No. 71",
  "relative_energy_ev_per_fu": 1.11,
  "cell": [[5.686, -0.050, 0.011], [2.646, 5.033, -0.011], [-3.500, -3.605, 2.662]],
  "species": ["W", "La", "La"],
  "frac_coords": [[0.333, 0.333, 0.000], [0.990, 0.990, 0.000], [0.677, 0.677, 0.000]]
}



{
  "formula": "SrZnBiAs2",
  "functional": "PBE",
  "state": "relaxed",
  "spacegroup": "No. 123",
  "total_energy_ev_per_atom": -2.46,
  "cell": [[5.648, 0.000, 0.000], [0.000, 5.482, 0.000], [0.000, 0.000, 5.648]],
  "species": ["Bi", "As", "As", "Zn", "Sr"],
  "frac_coords": [[0.500, 0.500, 0.500], [0.000, 0.000, 0.500], [0.500, 0.000, 0.000], [0.000, 0.500, 0.000], [0.000, 0.000, 0.000]]
}



{
  "formula": "ReAgN2",
  "functional": "PBE",
  "state": "relaxed",
  "spacegroup": "No. 166",
  "relative_energy_ev_per_fu": 0.00,
  "e_form_raw_ev_per_atom": 0.37,
  "cell": [[1.677, 0.000, 6.750], [-0.839, 1.452, 6.750], [-0.839, -1.452, 6.750]],
  "species": ["N", "N", "Re", "Ag"],
  "frac_coords": [[0.894, 0.894, 0.894], [0.106, 0.106, 0.106], [0.500, 0.500, 0.500], [0.000, 0.000, 0.000]]
}



{
  "formula": "VMo2Au",
  "functional": "PBE",
  "state": "relaxed",
  "spacegroup": "No. 225",
  "relative_energy_ev_per_fu": 1.04,
  "cell": [[1.712, -3.754, 1.745], [-2.692, -3.441, 0.988], [0.157, -3.743, -2.456]],
  "species": ["Mo", "Mo", "V", "Au"],
  "frac_coords": [[0.250, 0.250, 0.250], [0.750, 0.750, 0.750], [0.000, 0.000, 0.000], [0.500, 0.500, 0.500]]
}



{
  "formula": "LaOsPb2",
  "functional": "PBE",
  "state": "relaxed",
  "spacegroup": "No. 122",
  "relative_energy_ev_per_fu": 1.39,
  "cell": [[4.404, 0.000, 0.000], [0.000, 4.404, 0.000], [2.202, 2.202, 11.187]],
  "species": ["La", "La", "Pb", "Pb", "Pb", "Pb", "Os", "Os"],
  "frac_coords": [[0.250, 0.750, 0.500], [0.500, 0.500, 0.000], [0.646, 0.125, 0.250], [0.104, 0.625, 0.250], [0.875, 0.896, 0.750], [0.375, 0.354, 0.750], [0.000, 0.000, 0.000], [0.750, 0.250, 0.500]]
}



{
  "formula": "LaDyCBr",
  "functional": "PBE",
  "state": "relaxed",
  "spacegroup": "No. 160",
  "e_form_raw_ev_per_atom": -0.93,
  "cell": [[-1.536, 0.602, 3.365], [3.479, -1.379, -0.251], [2.626, 7.018, -2.149]],
  "species": ["La", "Dy", "Br", "C"],
  "frac_coords": [[0.516, 0.156, 0.687], [0.091, 0.944, 0.050], [0.953, 0.375, 0.343], [0.317, 0.556, 0.889]]
}



{
  "formula": "CsMgTc3",
  "functional": "PBE",
  "state": "relaxed",
  "spacegroup": "No. 221",
  "relative_energy_ev_per_fu": 2.79,
  "cell": [[-1.715, 0.166, -4.632], [-4.225, -2.087, 1.490], [-1.906, 4.477, 0.866]],
  "species": ["Tc", "Tc", "Tc", "Cs", "Mg"],
  "frac_coords": [[0.000, 0.500, 0.000], [0.500, 0.000, 0.000], [0.000, 0.000, 0.500], [0.000, 0.000, 0.000], [0.500, 0.500, 0.500]]
}



{
  "formula": "SrZr2Te",
  "functional": "PBE",
  "state": "relaxed",
  "spacegroup": "No. 216",
  "e_form_raw_ev_per_atom": 0.16,
  "cell": [[5.300, 0.000, 0.000], [2.650, 4.590, 0.000], [2.650, 1.530, 4.327]],
  "species": ["Sr", "Te", "Zr", "Zr"],
  "frac_coords": [[0.500, 0.500, 0.500], [0.750, 0.750, 0.750], [0.250, 0.250, 0.250], [0.000, 0.000, 0.000]]
}



{
  "formula": "Ba2YSb3O8",
  "functional": "PBE",
  "state": "relaxed",
  "spacegroup": "No. 123",
  "e_form_raw_ev_per_atom": -1.94,
  "cell": [[4.371, 0.000, 0.000], [0.000, 4.371, 0.000], [0.000, 0.000, 12.204]],
  "species": ["Sb", "Sb", "Sb", "O", "O", "O", "O", "O", "O", "O", "O", "Ba", "Ba", "Y"],
  "frac_coords": [[0.000, 0.000, 0.639], [0.000, 0.000, 0.361], [0.000, 0.000, 0.000], [0.000, 0.500, 0.382], [0.000, 0.000, 0.191], [0.000, 0.000, 0.809], [0.500, 0.000, 0.382], [0.000, 0.500, 0.618], [0.500, 0.000, 0.618], [0.500, 0.000, 0.000], [0.000, 0.500, 0.000], [0.500, 0.500, 0.837], [0.500, 0.500, 0.163], [0.500, 0.500, 0.500]]
}



{
  "formula": "Mn7Fe3",
  "functional": "PBE",
  "state": "relaxed",
  "spacegroup": "No. 4",
  "total_energy_ev_per_atom": -8.89,
  "cell": [[-1.710, 1.491, -5.618], [-1.778, -5.686, -0.968], [-5.518, 1.359, 2.040]],
  "species": ["Mn", "Mn", "Mn", "Mn", "Mn", "Mn", "Mn", "Mn", "Mn", "Mn", "Mn", "Mn", "Mn", "Mn", "Fe", "Fe", "Fe", "Fe", "Fe", "Fe"],
  "frac_coords": [[0.309, 0.809, 0.941], [0.875, 0.050, 0.452], [0.626, 0.550, 0.052], [0.949, 0.798, 0.129], [0.809, 0.191, 0.059], [0.449, 0.202, 0.871], [0.801, 0.377, 0.701], [0.551, 0.299, 0.381], [0.201, 0.129, 0.203], [0.051, 0.701, 0.619], [0.701, 0.871, 0.797], [0.126, 0.450, 0.948], [0.375, 0.950, 0.548], [0.301, 0.623, 0.299], [0.938, 0.439, 0.305], [0.559, 0.942, 0.190], [0.189, 0.307, 0.561], [0.689, 0.693, 0.439], [0.059, 0.058, 0.810], [0.438, 0.561, 0.695]]
}



{
  "formula": "USb2P2Rh7",
  "functional": "PBE",
  "state": "relaxed",
  "spacegroup": "No. 12",
  "e_form_raw_ev_per_atom": -0.52,
  "cell": [[-1.959, -3.154, 1.117], [3.239, -2.112, -0.282], [3.807, 0.372, 14.419]],
  "species": ["Rh", "Rh", "Rh", "Rh", "Rh", "Rh", "Rh", "Sb", "Sb", "P", "P", "U"],
  "frac_coords": [[0.429, 0.929, 0.143], [0.695, 0.695, 0.611], [0.071, 0.571, 0.857], [0.500, 0.500, 0.000], [0.571, 0.071, 0.857], [0.305, 0.305, 0.389], [0.929, 0.429, 0.143], [0.789, 0.789, 0.424], [0.211, 0.211, 0.576], [0.615, 0.615, 0.768], [0.385, 0.385, 0.232], [0.000, 0.000, 0.000]]
}



{
  "formula": "La2HgBRu",
  "functional": "PBE",
  "state": "relaxed",
  "spacegroup": "No. 123",
  "total_energy_ev_per_atom": -5.49,
  "cell": [[-2.585, -3.907, -2.833], [-2.722, -1.473, 4.516], [-2.933, 2.606, -0.918]],
  "species": ["La", "La", "B", "Ru", "Hg"],
  "frac_coords": [[0.000, 0.500, 0.000], [0.500, 0.000, 0.000], [0.000, 0.000, 0.000], [0.000, 0.000, 0.500], [0.500, 0.500, 0.500]]
}



{
  "formula": "In4Pb",
  "functional": "PBE",
  "state": "relaxed",
  "spacegroup": "No. 139",
  "relative_energy_ev_per_fu": 0.49,
  "cell": [[-2.200, 2.200, 7.630], [2.200, -2.200, 7.630], [2.200, 2.200, -7.630]],
  "species": ["In", "In", "In", "In", "Pb"],
  "frac_coords": [[0.750, 0.250, 0.500], [0.250, 0.750, 0.500], [0.402, 0.402, 0.000], [0.598, 0.598, 0.000], [0.000, 0.000, 0.000]]
}



{
  "formula": "Ce5Te5P",
  "functional": "PBE",
  "state": "relaxed",
  "spacegroup": "No. 12",
  "e_form_raw_ev_per_atom": -1.37,
  "cell": [[6.251, 0.000, 0.000], [-3.125, 6.974, -0.098], [0.000, -2.733, 8.363]],
  "species": ["Ce", "Ce", "Ce", "Ce", "Ce", "P", "Te", "Te", "Te", "Te", "Te"],
  "frac_coords": [[0.155, 0.311, 0.314], [0.843, 0.686, 0.155], [0.157, 0.314, 0.845], [0.500, 0.000, 0.000], [0.845, 0.689, 0.686], [0.000, 0.000, 0.000], [0.673, 0.346, 0.337], [0.000, 0.000, 0.500], [0.661, 0.322, 0.820], [0.327, 0.654, 0.663], [0.339, 0.678, 0.180]]
}



{
  "formula": "Li4SnPd",
  "functional": "PBE",
  "state": "relaxed",
  "spacegroup": "No. 216",
  "relative_energy_ev_per_fu": 1.06,
  "cell": [[-3.236, 3.719, -0.849], [-4.917, -0.921, -0.033], [-2.888, 1.699, 3.714]],
  "species": ["Pd", "Li", "Li", "Li", "Li", "Sn"],
  "frac_coords": [[0.000, 0.000, 0.000], [0.122, 0.626, 0.626], [0.626, 0.626, 0.122], [0.626, 0.122, 0.626], [0.626, 0.626, 0.626], [0.250, 0.250, 0.250]]
}



{
  "formula": "ReAs",
  "functional": "PBE",
  "state": "relaxed",
  "spacegroup": "No. 8",
  "relative_energy_ev_per_fu": 0.03,
  "cell": [[9.931, 0.000, -0.005], [0.000, 2.964, 0.000], [-0.831, 0.000, 5.019]],
  "species": ["Re", "Re", "Re", "Re", "As", "As", "As", "As"],
  "frac_coords": [[0.836, 0.500, 0.379], [0.617, 0.500, 0.966], [0.617, 0.000, 0.466], [0.836, 0.000, 0.879], [0.420, 0.000, 0.739], [0.032, 0.000, 0.274], [0.032, 0.500, 0.774], [0.420, 0.500, 0.239]]
}



{
  "formula": "Mg5Zn4",
  "functional": "PBE",
  "state": "relaxed",
  "spacegroup": "No. 12",
  "relative_energy_ev_per_fu": 0.00,
  "cell": [[4.261, 0.000, 1.097], [1.970, 4.860, 1.171], [0.047, 0.410, 8.646]],
  "species": ["Mg", "Mg", "Mg", "Mg", "Mg", "Zn", "Zn", "Zn", "Zn"],
  "frac_coords": [[0.104, 0.189, 0.604], [0.761, 0.652, 0.826], [0.000, 0.000, 0.000], [0.239, 0.348, 0.174], [0.896, 0.811, 0.396], [0.540, 0.769, 0.151], [0.622, 0.371, 0.384], [0.460, 0.231, 0.849], [0.378, 0.629, 0.616]]
}



{
  "formula": "Tb2LuZr",
  "functional": "PBE",
  "state": "relaxed",
  "spacegroup": "No. 166",
  "relative_energy_ev_per_fu": 0.78,
  "cell": [[3.343, 0.000, 0.000], [1.672, 2.895, 0.000], [1.672, 0.965, 11.890]],
  "species": ["Lu", "Tb", "Tb", "Zr"],
  "frac_coords": [[0.500, 0.500, 0.500], [0.087, 0.087, 0.739], [0.913, 0.913, 0.261], [0.000, 0.000, 0.000]]
}



{
  "formula": "Tb15Ho2Th2",
  "functional": "PBE",
  "state": "relaxed",
  "spacegroup": "No. 166",
  "total_energy_ev_per_atom": -4.62,
  "cell": [[6.751, -5.538, -0.513], [6.751, 5.538, -0.513], [2.875, 0.000, 8.261]],
  "species": ["Ho", "Ho", "Tb", "Tb", "Tb", "Tb", "Tb", "Tb", "Tb", "Tb", "Tb", "Tb", "Tb", "Tb", "Tb", "Tb", "Tb", "Th", "Th"],
  "frac_coords": [[0.685, 0.685, 0.685], [0.315, 0.315, 0.315], [0.700, 0.000, 0.300], [0.000, 0.500, 0.000], [0.300, 0.000, 0.700], [0.373, 0.373, 0.851], [0.700, 0.300, 0.000], [0.500, 0.000, 0.000], [0.373, 0.851, 0.373], [0.627, 0.149, 0.627], [0.000, 0.300, 0.700], [0.149, 0.627, 0.627], [0.627, 0.627, 0.149], [0.000, 0.700, 0.300], [0.300, 0.700, 0.000], [0.000, 0.000, 0.500], [0.851, 0.373, 0.373], [0.087, 0.087, 0.087], [0.913, 0.913, 0.913]]
}